# PBE RbSm, relaxed
data_RbSm
_chemical_formula_sum 'Rb4 Sm4'
_space_group_name_H-M_alt 'F -4 3 m'
_space_group_IT_number 216
_space_group_name_Hall 'F -4 2 3'
_cell_length_a 9.007
_cell_length_b 9.007
_cell_length_c 9.007
_cell_angle_alpha 90.00
_cell_angle_beta 90.00
_cell_angle_gamma 90.00
loop_
_atom_site_label
_atom_site_type_symbol
_atom_site_fract_x
_atom_site_fract_y
_atom_site_fract_z
_atom_site_occupancy
Rb1 Rb 0.000 0.000 0.000 1
Sm1 Sm 0.250 0.250 0.750 1
# Raw total energy   -2.0 eV/f.u.
# Calculated density   2.1 g cm⁻³